No. 1
First-principles (PBE-GGA) data for BaMnCu2 after structural relaxation, as listed in Alexandria.

Values from the calculation:
- density of states at the Fermi level (states/eV/atom) = 0.790
- magnetization (μB per cell) = 4.3
- DFT formation energy (eV/atom) = 0.33
- raw total energy (eV per atom) = -4.487
- SG = Amm2

Lattice parameters (Å, degrees): 3.958 3.604 6.718 74.47 90.00 90.00
Site moments in Bohr magnetons follow the coordinates.
Positions (direct):
Cu (0.000, 0.151, 0.072)  0.07
Cu (0.500, 0.042, 0.293)  0.08
Mn (0.000, 0.512, 0.351)  3.97
Ba (0.500, 0.795, 0.784)  -0.01


No. 2
First-principles (PBE-GGA) data for BaMn2Cu after structural relaxation, as listed in Alexandria.

Values from the calculation:
- density of states at the Fermi level (states/eV/atom) = 0.733
- magnetization (μB per cell) = 7.9
- DFT formation energy (eV/atom) = 0.43
- raw total energy (eV per atom) = -5.655
- SG = R-3m

Lattice parameters (Å, degrees): 4.364 4.364 6.438 70.16 70.16 59.96
Site moments in Bohr magnetons follow the coordinates.
Positions (direct):
Mn (0.553, 0.553, 0.341)  3.72
Mn (0.947, 0.947, 0.159)  3.72
Cu (0.250, 0.250, 0.250)  0.18
Ba (0.750, 0.750, 0.750)  -0.04


No. 3
First-principles (PBE-GGA) data for BaMn2Cu after structural relaxation, as listed in Alexandria.

Values from the calculation:
- density of states at the Fermi level (states/eV/atom) = 1.023
- magnetization (μB per cell) = 14.9
- DFT formation energy (eV/atom) = 0.66
- raw total energy (eV per atom) = -5.429
- SG = I4_1/amd

Lattice parameters (Å, degrees): 5.067 5.067 9.244 74.09 74.09 90.00
Site moments in Bohr magnetons follow the coordinates.
Positions (direct):
Ba (0.000, 0.000, 0.000)  -0.06
Ba (0.750, 0.250, 0.500)  -0.06
Mn (0.375, 0.125, 0.250)  3.54
Mn (0.875, 0.625, 0.750)  3.63
Mn (0.375, 0.625, 0.750)  3.59
Mn (0.375, 0.625, 0.250)  3.54
Cu (0.250, 0.750, 0.500)  0.13
Cu (0.500, 0.500, 0.000)  0.13